1.
{"formula": "Ba3Ga3Cu2", "functional": "PBE", "state": "optimized geometry", "lattice": [[4.2684, 0.0000, 0.0000], [-0.0058, 5.9666, 0.0000], [-2.1270, -1.3583, 9.1990]], "species": ["Ba", "Ba", "Ba", "Ga", "Ga", "Ga", "Cu", "Cu"], "frac_coords": [[0.0000, 0.0000, 0.0000], [0.1502, 0.5528, 0.3013], [0.8498, 0.4472, 0.6987], [0.3452, 0.9334, 0.6910], [0.5000, 0.5000, 0.0000], [0.6548, 0.0666, 0.3090], [0.2230, 0.0712, 0.4451], [0.7770, 0.9288, 0.5549]], "formation_energy_mev_per_atom": -264, "magmom_total_mub_per_fu": 0.0, "n_ef_per_ev_atom": 0.710, "sg": "No. 2", "dft_energy_ev_per_atom": -3.144}

=====

2.
{"formula": "La3Co2S7", "functional": "PBE", "state": "optimized geometry", "lattice": [[10.0325, 0.0000, 0.0000], [-5.0162, 8.6884, 0.0000], [0.0000, 0.0000, 6.1331]], "species": ["La", "La", "La", "La", "La", "La", "Co", "Co", "Co", "Co", "S", "S", "S", "S", "S", "S", "S", "S", "S", "S", "S", "S", "S", "S"], "frac_coords": [[0.1551, 0.3863, 0.0000], [0.2312, 0.8449, 0.0000], [0.3863, 0.2312, 0.5000], [0.6137, 0.7688, 0.0000], [0.7688, 0.1551, 0.5000], [0.8449, 0.6137, 0.5000], [0.0000, 0.0000, 0.3298], [0.0000, 0.0000, 0.8298], [0.3333, 0.6667, 0.4058], [0.6667, 0.3333, 0.9058], [0.0822, 0.2020, 0.5844], [0.0929, 0.5746, 0.2789], [0.1198, 0.9178, 0.5844], [0.2020, 0.1198, 0.0844], [0.3333, 0.6667, 0.7696], [0.4254, 0.5183, 0.2789], [0.4817, 0.9071, 0.2789], [0.5183, 0.0929, 0.7789], [0.5746, 0.4817, 0.7789], [0.6667, 0.3333, 0.2696], [0.7980, 0.8802, 0.5844], [0.8802, 0.0822, 0.0844], [0.9071, 0.4254, 0.7789], [0.9178, 0.7980, 0.0844]], "magmom_total_mub_per_fu": 3.0, "raw_formation_energy_mev_per_atom": -1422, "n_ef_per_ev_atom": 0.360, "sg": "No. 173", "dft_energy_ev_per_atom": -6.245}

=====

3.
{"formula": "Ac4TlAg2", "functional": "PBE", "state": "optimized geometry", "lattice": [[2.8282, 1.6329, 9.0541], [-2.8282, 1.6329, 9.0541], [0.0000, -3.2657, 9.0541]], "species": ["Ac", "Ac", "Ac", "Ac", "Tl", "Ag", "Ag"], "frac_coords": [[0.1194, 0.1194, 0.1194], [0.3721, 0.3721, 0.3721], [0.6279, 0.6279, 0.6279], [0.8806, 0.8806, 0.8806], [0.5000, 0.5000, 0.5000], [0.2485, 0.2485, 0.2485], [0.7515, 0.7515, 0.7515]], "formation_energy_mev_per_atom": -164, "magmom_total_mub_per_fu": 0.0, "n_ef_per_ev_atom": 1.205, "e_above_lowest_polymorph_mev_per_atom": 0, "sg": "No. 166", "dft_energy_ev_per_atom": -3.664}

=====

4.
{"formula": "Ba2Ti3Tl2O10", "functional": "PBE", "state": "optimized geometry", "lattice": [[3.8730, 0.0000, 0.0000], [0.0121, 4.4819, 0.0000], [1.8225, 0.8962, 16.0426]], "species": ["Ba", "Ba", "Ti", "Ti", "Ti", "Tl", "Tl", "O", "O", "O", "O", "O", "O", "O", "O", "O", "O"], "frac_coords": [[0.0000, 0.0000, 0.0000], [0.2813, 0.5516, 0.5078], [0.4110, 0.9163, 0.2527], [0.4302, 0.4547, 0.1180], [0.8360, 0.0808, 0.3917], [0.2162, 0.0619, 0.7233], [0.5639, 0.5363, 0.8554], [0.0888, 0.5538, 0.7879], [0.3442, 0.9859, 0.3740], [0.4145, 0.5277, 0.2344], [0.4473, 0.0370, 0.1300], [0.5135, 0.0377, 0.8551], [0.5319, 0.5157, 0.9948], [0.7821, 0.9698, 0.5052], [0.8320, 0.4692, 0.4000], [0.8935, 0.9906, 0.2671], [0.9691, 0.5117, 0.1075]], "magmom_total_mub_per_fu": 0.0, "raw_formation_energy_mev_per_atom": -2370, "sg": "No. 1", "dft_energy_ev_per_atom": -7.184}